This record from Alexandria describes a relaxed Fe2SbW crystal. The functional is GGA-PBEsol.

Energy relative to the lowest polymorph listed for this composition in meV/atom: 0
SG: P4/mmm
Magnetization in Bohr magnetons per cell: 2.798
DOS(E_F) in states/eV per cell: 4.1
Uncorrected formation energy in eV/atom: 0.319

Cell lengths 3.110, 4.220, 4.220 Å; angles 90.00, 90.00, 90.00 degrees
Last column: magnetic moment on the atom in μB.
Element x y z (fractional)
Sb: 0.500 0.500 0.500  -0.02
Fe: 0.000 0.500 0.000  1.35
Fe: 0.000 0.000 0.500  1.35
W: 0.500 0.000 0.000  0.13

***

This record from Alexandria describes a relaxed FeSb2W crystal. The functional is GGA-PBEsol.

Energy relative to the lowest polymorph listed for this composition in meV/atom: 0
SG: P4mm
Magnetization in Bohr magnetons per cell: 1.501
DOS(E_F) in states/eV per cell: 2.6
Uncorrected formation energy in eV/atom: 0.224

Cell lengths 3.031, 3.031, 8.354 Å; angles 90.00, 90.00, 90.00 degrees
Last column: magnetic moment on the atom in μB.
Element x y z (fractional)
Sb: 0.000 0.000 0.920  -0.01
Sb: 0.500 0.500 0.310  0.01
Fe: 0.500 0.500 0.719  1.46
W: 0.000 0.000 0.551  0.02

***

This record from Alexandria describes a relaxed FeSb2W crystal. The functional is GGA-PBEsol.

Energy relative to the lowest polymorph listed for this composition in meV/atom: 287
SG: Fm-3m
Magnetization in Bohr magnetons per cell: 0.000
DOS(E_F) in states/eV per cell: 1.7
Uncorrected formation energy in eV/atom: 0.511

Cell lengths 4.552, 4.552, 4.552 Å; angles 60.00, 60.00, 60.00 degrees
Element x y z (fractional)
W: 0.000 0.000 0.000
Sb: 0.750 0.750 0.750
Sb: 0.250 0.250 0.250
Fe: 0.500 0.500 0.500

***

This record from Alexandria describes a relaxed FeSbW2 crystal. The functional is GGA-PBEsol.

Energy relative to the lowest polymorph listed for this composition in meV/atom: 0
SG: P4mm
Magnetization in Bohr magnetons per cell: 1.215
DOS(E_F) in states/eV per cell: 3.2
Uncorrected formation energy in eV/atom: 0.375

Cell lengths 3.193, 3.193, 6.093 Å; angles 90.00, 90.00, 90.00 degrees
Last column: magnetic moment on the atom in μB.
Element x y z (fractional)
W: 0.000 0.000 0.014  0.01
W: 0.500 0.500 0.270  -0.10
Fe: 0.000 0.000 0.478  1.33
Sb: 0.500 0.500 0.738  0.02